1.
Here is Gd3CuSnS7 at its PBEsol-relaxed geometry from the Alexandria database. Energies are from meta-GGA SCAN.

Values from the calculation:
As for the space group: P6_3. The calculation puts the energy relative to the elements, uncorrected at -1.595 eV/atom.

a b c (Å): 5.9777 9.7895 9.7895
angles (deg): 120.00 90.00 90.00
Closest atoms and distances in Å follow each position.
Fractional coordinates of all 24 atoms:
Gd1 0.2407 0.3582 0.2165  7 S 2.72-3.02
Gd2 0.7407 0.2165 0.8583  7 S 2.72-3.02
Gd3 0.2407 0.7835 0.1417  7 S 2.72-3.02
Gd4 0.2407 0.8583 0.6418  7 S 2.72-3.02
Gd5 0.7407 0.1417 0.3582  7 S 2.72-3.02
Gd6 0.7407 0.6418 0.7835  7 S 2.72-3.02
S1 0.0648 0.6667 0.3333  1 Sn 2.36
S2 0.9919 0.4856 0.9190  1 Sn 2.40
S3 0.7898 0.8470 0.1063  1 Cu 2.21
S4 0.2898 0.1530 0.8937  1 Cu 2.21
S5 0.7898 0.8937 0.7407  1 Cu 2.21
S6 0.4919 0.9190 0.4334  1 Sn 2.40
S7 0.9919 0.0810 0.5666  1 Sn 2.40
S8 0.7898 0.2593 0.1530  1 Cu 2.21
S9 0.2898 0.7407 0.8470  1 Cu 2.21
S10 0.4919 0.5144 0.0810  1 Sn 2.40
S11 0.9919 0.4334 0.5144  1 Sn 2.40
S12 0.4919 0.5666 0.4856  1 Sn 2.40
S13 0.2898 0.1063 0.2593  1 Cu 2.21
S14 0.5648 0.3333 0.6667  1 Sn 2.36
Cu1 0.3137 0.0000 0.0000  3 S 2.21
Cu2 0.8137 0.0000 0.0000  3 S 2.21
Sn1 0.1703 0.3333 0.6667  4 S 2.36-2.40
Sn2 0.6703 0.6667 0.3333  4 S 2.36-2.40

2.
Here is GaSiGe3 at its PBEsol-relaxed geometry from the Alexandria database. Energies are from meta-GGA SCAN.

Values from the calculation:
As for the space group: Pm-3m. The calculation puts the energy relative to the elements, uncorrected at 0.747 eV/atom.

a b c (Å): 4.7419 4.7419 4.7419
angles (deg): 90.00 90.00 90.00
Closest atoms and distances in Å follow each position.
Fractional coordinates of all 5 atoms:
Ga1 0.5000 0.5000 0.5000  12 Ge 3.35
Ge1 0.5000 0.0000 0.0000  2 Si 2.37
Ge2 0.0000 0.0000 0.5000  2 Si 2.37
Ge3 0.0000 0.5000 0.0000  2 Si 2.37
Si1 0.0000 0.0000 0.0000  6 Ge 2.37

3.
Here is ZrCu2Si at its PBEsol-relaxed geometry from the Alexandria database. Energies are from meta-GGA SCAN.

Values from the calculation:
As for the space group: C2/m. The calculation puts the energy relative to the elements, uncorrected at -0.140 eV/atom.

a b c (Å): 2.9371 4.3537 4.9651
angles (deg): 100.65 90.00 109.71
Closest atoms and distances in Å follow each position.
Fractional coordinates of all 4 atoms:
Si1 0.0000 0.0000 0.5000  6 Cu 2.48-2.54
Zr1 0.5000 0.0000 0.0000  6 Cu 2.68-2.79, 4 Si 2.88, 2 Zr 2.94
Cu1 0.2627 0.5254 0.3013  3 Si 2.48-2.54, 2 Cu 2.50, 1 Zr 2.68
Cu2 0.7373 0.4746 0.6987  3 Si 2.48-2.54, 2 Cu 2.50, 1 Zr 2.68

4.
Here is Y3Hg at its PBEsol-relaxed geometry from the Alexandria database. Energies are from meta-GGA SCAN.

Values from the calculation:
As for the space group: Pm-3m. The formation energy is -0.314 eV/atom.

a b c (Å): 4.7241 4.7276 4.7276
angles (deg): 90.01 90.00 90.00
Closest atoms and distances in Å follow each position.
Fractional coordinates of all 4 atoms:
Hg1 0.0000 0.0000 0.0000  12 Y 3.34
Y1 0.5000 0.0000 0.5000  4 Hg 3.34, 8 Y 3.34
Y2 0.5000 0.5000 0.0000  8 Y 3.34, 4 Hg 3.34
Y3 0.0000 0.5000 0.5000  8 Y 3.34, 4 Hg 3.34

5.
Here is K3Ga3As4 at its PBEsol-relaxed geometry from the Alexandria database. Energies are from meta-GGA SCAN.

Values from the calculation:
As for the space group: Pnna. The formation energy is -0.551 eV/atom.

a b c (Å): 6.6137 10.6373 14.8915
angles (deg): 90.00 90.00 90.00
Closest atoms and distances in Å follow each position.
Fractional coordinates of all 40 atoms:
As1 0.4596 0.6940 0.6358  3 Ga 2.52-2.57
As2 0.5405 0.5952 0.1753  3 Ga 2.46-2.52
As3 0.9596 0.1940 0.8642  3 Ga 2.52-2.57
As4 0.9595 0.5952 0.8247  3 Ga 2.46-2.52
As5 0.9595 0.9048 0.6753  3 Ga 2.46-2.52
As6 0.9596 0.3060 0.6358  3 Ga 2.52-2.57
As7 0.0404 0.8060 0.1358  3 Ga 2.52-2.57
As8 0.5405 0.9048 0.3247  3 Ga 2.46-2.52
As9 0.0404 0.6940 0.3642  3 Ga 2.52-2.57
As10 0.4595 0.4048 0.8247  3 Ga 2.46-2.52
As11 0.5404 0.1940 0.1358  3 Ga 2.52-2.57
As12 0.4596 0.8060 0.8642  3 Ga 2.52-2.57
As13 0.5404 0.3060 0.3642  3 Ga 2.52-2.57
As14 0.0405 0.0952 0.3247  3 Ga 2.46-2.52
As15 0.0405 0.4048 0.1753  3 Ga 2.46-2.52
As16 0.4595 0.0952 0.6753  3 Ga 2.46-2.52
Ga1 0.1928 0.7500 0.7500  4 As 2.52
Ga2 0.9020 0.6112 0.2170  4 As 2.46-2.57
Ga3 0.3072 0.7500 0.2500  4 As 2.52
Ga4 0.6928 0.2500 0.7500  4 As 2.52
Ga5 0.4020 0.1112 0.2830  4 As 2.46-2.57
Ga6 0.5980 0.8888 0.7170  4 As 2.46-2.57
Ga7 0.9020 0.8888 0.2830  4 As 2.46-2.57
Ga8 0.0980 0.3888 0.7830  4 As 2.46-2.57
Ga9 0.5980 0.6112 0.7830  4 As 2.46-2.57
Ga10 0.0980 0.1112 0.7170  4 As 2.46-2.57
Ga11 0.4020 0.3888 0.2170  4 As 2.46-2.57
Ga12 0.8072 0.2500 0.2500  4 As 2.52
K1 0.9392 0.8799 0.9049  1 Ga 3.17, 4 As 3.26-3.43
K2 0.7500 0.4203 0.0000  6 As 3.24-3.49
K3 0.7500 0.0797 0.5000  6 As 3.24-3.49
K4 0.4392 0.3799 0.5951  1 Ga 3.17, 4 As 3.26-3.43
K5 0.4392 0.1201 0.9049  1 Ga 3.17, 4 As 3.26-3.43
K6 0.0608 0.3799 0.4049  1 Ga 3.17, 4 As 3.26-3.43
K7 0.9392 0.6201 0.5951  1 Ga 3.17, 4 As 3.26-3.43
K8 0.2500 0.5797 0.0000  6 As 3.24-3.49
K9 0.5608 0.6201 0.4049  1 Ga 3.17, 4 As 3.26-3.43
K10 0.5608 0.8799 0.0951  1 Ga 3.17, 4 As 3.26-3.43
K11 0.0608 0.1201 0.0951  1 Ga 3.17, 4 As 3.26-3.43
K12 0.2500 0.9203 0.5000  6 As 3.24-3.49

6.
Here is BaSb3Cl at its PBEsol-relaxed geometry from the Alexandria database. Energies are from meta-GGA SCAN.

Values from the calculation:
As for the space group: Pm-3m. The calculation puts the energy relative to the elements, uncorrected at -0.018 eV/atom.

a b c (Å): 5.4083 5.4083 5.4083
angles (deg): 90.00 90.00 90.00
Closest atoms and distances in Å follow each position.
Fractional coordinates of all 5 atoms:
Sb1 0.0000 0.5000 0.0000  2 Cl 2.70
Sb2 0.5000 0.0000 0.0000  2 Cl 2.70
Sb3 0.0000 0.0000 0.5000  2 Cl 2.70
Ba1 0.5000 0.5000 0.5000  12 Sb 3.82
Cl1 0.0000 0.0000 0.0000  6 Sb 2.70

7.
Here is YSb2AuC at its PBEsol-relaxed geometry from the Alexandria database. Energies are from meta-GGA SCAN.

Values from the calculation:
As for the space group: P4/mmm. The calculation puts the energy relative to the elements, uncorrected at 0.209 eV/atom.

a b c (Å): 4.6394 4.6394 4.7379
angles (deg): 90.00 90.00 90.00
Closest atoms and distances in Å follow each position.
Fractional coordinates of all 5 atoms:
Sb1 0.5000 0.0000 0.0000  2 C 2.32
Sb2 0.0000 0.5000 0.0000  2 C 2.32
C1 0.0000 0.0000 0.0000  4 Sb 2.32, 2 Y 2.37
Au1 0.5000 0.5000 0.5000  4 Y 3.28, 8 Sb 3.32
Y1 0.0000 0.0000 0.5000  2 C 2.37

8.
Here is CsGaSe3 at its PBEsol-relaxed geometry from the Alexandria database. Energies are from meta-GGA SCAN.

Values from the calculation:
As for the space group: Pm-3m. The calculation puts the energy relative to the elements, uncorrected at 0.962 eV/atom.

a b c (Å): 5.7300 5.7300 5.7300
angles (deg): 90.00 90.00 90.00
Closest atoms and distances in Å follow each position.
Fractional coordinates of all 5 atoms:
Se1 0.0000 0.5000 0.0000  2 Cs 2.86
Se2 0.0000 0.0000 0.5000  2 Cs 2.86
Se3 0.5000 0.0000 0.0000  2 Cs 2.86
Cs1 0.0000 0.0000 0.0000  6 Se 2.86
Ga1 0.5000 0.5000 0.5000  12 Se 4.05

9.
Here is Li2CuNi at its PBEsol-relaxed geometry from the Alexandria database. Energies are from meta-GGA SCAN.

Values from the calculation:
As for the space group: Imm2. The formation energy is 0.080 eV/atom.

a b c (Å): 2.6279 4.1917 4.8815
angles (deg): 115.43 105.62 90.00
Closest atoms and distances in Å follow each position.
Fractional coordinates of all 4 atoms:
Li1 0.9947 0.9947 0.9894  4 Ni 2.48, 2 Cu 2.48, 4 Li 2.56-2.63
Li2 0.7563 0.2563 0.5125  2 Ni 2.47, 4 Cu 2.48, 4 Li 2.56-2.63
Ni1 0.5049 0.5049 0.0098  2 Cu 2.40, 6 Li 2.47-2.48, 2 Ni 2.63
Cu1 0.2442 0.7442 0.4883  2 Ni 2.40, 6 Li 2.48, 2 Cu 2.63

10.
Here is TmTaRu2 at its PBEsol-relaxed geometry from the Alexandria database. Energies are from meta-GGA SCAN.

Values from the calculation:
As for the space group: Fm-3m. The formation energy is -0.586 eV/atom.

a b c (Å): 4.5326 4.5326 4.5326
angles (deg): 60.00 60.00 60.00
Closest atoms and distances in Å follow each position.
Fractional coordinates of all 4 atoms:
Ru1 0.7500 0.7500 0.7500  4 Ta 2.78, 4 Tm 2.78
Ru2 0.2500 0.2500 0.2500  4 Ta 2.78, 4 Tm 2.78
Tm1 0.0000 0.0000 0.0000  8 Ru 2.78
Ta1 0.5000 0.5000 0.5000  8 Ru 2.78

11.
Here is YTaP2 at its PBEsol-relaxed geometry from the Alexandria database. Energies are from meta-GGA SCAN.

Values from the calculation:
As for the space group: Imm2. The formation energy is -0.979 eV/atom.

a b c (Å): 3.3836 3.4534 6.7633
angles (deg): 104.79 104.49 90.00
Closest atoms and distances in Å follow each position.
Fractional coordinates of all 4 atoms:
Ta1 0.4537 0.4537 0.9073  6 P 2.47-2.60
P1 0.0302 0.0302 0.0603  4 Ta 2.60, 2 Y 2.80
P2 0.8113 0.3113 0.6226  2 Ta 2.47
Y1 0.2049 0.7049 0.4098  6 P 2.77-2.80

12.
Here is Zr3TaGa at its PBEsol-relaxed geometry from the Alexandria database. Energies are from meta-GGA SCAN.

Values from the calculation:
As for the space group: Pm-3m. The formation energy is 0.782 eV/atom.

a b c (Å): 4.8838 4.8838 4.8838
angles (deg): 90.00 90.00 90.00
Closest atoms and distances in Å follow each position.
Fractional coordinates of all 5 atoms:
Ga1 0.0000 0.0000 0.0000  6 Zr 2.44
Zr1 0.0000 0.5000 0.0000  2 Ga 2.44
Zr2 0.5000 0.0000 0.0000  2 Ga 2.44
Zr3 0.0000 0.0000 0.5000  2 Ga 2.44
Ta1 0.5000 0.5000 0.5000  12 Zr 3.45